1.
Entry from the Alexandria database: an optimized crystal structure of NaNdH2S2O9 (GGA-PBEsol).

Cell: 6.942 6.942 12.839 Å, 90.00 90.00 120.00°
Fractional positions:
O 0.619 0.121 0.318
O 0.879 0.498 0.651
O 0.357 0.492 0.836
O 0.508 0.865 0.169
O 0.920 0.920 0.667
O 0.865 0.508 0.164
O 0.135 0.643 0.503
O 0.832 0.240 0.030
O 0.131 0.388 0.157
O 0.000 0.080 0.333
O 0.168 0.408 0.636
O 0.381 0.502 0.349
O 0.502 0.381 0.985
O 0.869 0.257 0.509
O 0.743 0.612 0.843
O 0.498 0.879 0.682
O 0.643 0.135 0.831
O 0.388 0.131 0.176
O 0.257 0.869 0.824
O 0.760 0.592 0.364
O 0.592 0.760 0.970
O 0.408 0.168 0.697
O 0.612 0.743 0.491
O 0.240 0.832 0.303
O 0.080 0.000 0.000
O 0.492 0.357 0.497
O 0.121 0.619 0.015
S 0.987 0.441 0.091
S 0.454 0.013 0.757
S 0.559 0.546 0.424
S 0.441 0.987 0.243
S 0.013 0.454 0.576
S 0.546 0.559 0.909
Na 0.527 0.527 0.167
Na 0.473 0.000 0.500
Na 0.000 0.473 0.833
H 0.943 0.898 0.962
H 0.046 0.102 0.038
H 0.057 0.954 0.704
H 0.954 0.057 0.629
H 0.102 0.046 0.296
H 0.898 0.943 0.371
Nd 0.433 0.000 0.000
Nd 0.567 0.567 0.667
Nd 0.000 0.433 0.333

Computed properties:
E in eV per atom: -6.510
Spin magnetization in μB per atom: 0.000
Fermi-level density of states in states/eV per cell: 0.0



2.
Entry from the Alexandria database: an optimized crystal structure of La2IN2 (GGA-PBEsol).

Cell: 4.151 4.151 7.486 Å, 106.09 106.09 90.00°
Last column: magnetic moment on the atom in μB.
Fractional positions:
La 0.668 0.668 0.335  0.29
La 0.332 0.332 0.665  0.29
N 0.250 0.750 0.500  0.04
N 0.750 0.250 0.500  0.04
I 0.000 0.000 0.000  0.01

Computed properties:
E in eV per atom: -7.249
E_form (uncorrected) in eV per formula unit: -6.73
Spin magnetization in μB per atom: 0.172
Fermi-level density of states in states/eV per cell: 2.8



3.
Entry from the Alexandria database: an optimized crystal structure of Ta2NiRh (GGA-PBEsol).

Cell: 3.171 3.171 5.913 Å, 90.00 90.00 90.00°
Fractional positions:
Ni 0.000 0.000 0.491
Ta 0.000 0.000 0.980
Ta 0.500 0.500 0.286
Rh 0.500 0.500 0.744

Computed properties:
E in eV per atom: -10.208
Formation energy in meV/atom: -358.1
Spin magnetization in μB per atom: 0.000
Fermi-level density of states in states/eV per cell: 2.3